Entry 1:
# Fe2TcSn8

Fe2TcSn8 after structural relaxation (PBE, Alexandria via LeMat-Bulk).

Properties
Calculated volume (Å³ per cell): 256
Symmetry: No. 12
Crystal system: monoclinic
Final energy (eV/atom): -5.27
DFT formation energy (eV per atom): 0.127
ρ (Mg/m³): 7.52
Magnetic moment (μB/atom): 0.1115

Cell lengths 4.8735, 9.2669, 9.2669 Å; angles 55.00, 126.14, 126.14 degrees
Site moments in Bohr magnetons follow the coordinates.
Element x y z (fractional)
Fe  0.5918  0.7432  0.7432  0.76
Fe  0.4082  0.2568  0.2568  0.76
Tc  0.0000  0.0000  0.0000  -0.12
Sn  0.2119  0.3846  0.8734  -0.01
Sn  0.7881  0.1266  0.6154  -0.01
Sn  0.2736  0.8774  0.8774  -0.03
Sn  0.7264  0.1226  0.1226  -0.03
Sn  0.2119  0.8734  0.3846  -0.01
Sn  0.7881  0.6154  0.1266  -0.01
Sn  0.7479  0.6212  0.6212  -0.01
Sn  0.2521  0.3788  0.3788  -0.01

***

Entry 2:
# FeTcSn2Te

FeTcSn2Te after structural relaxation (PBE, Alexandria via LeMat-Bulk).

Properties
Calculated volume (Å³ per cell): 114
Symmetry: No. 123
Crystal system: tetragonal
Final energy (eV/atom): -5.39
ρ (Mg/m³): 7.55
Magnetic moment (μB/atom): 0.3362

Cell lengths 4.9761, 4.6110, 4.9761 Å; angles 90.00, 90.00, 90.00 degrees
Site moments in Bohr magnetons follow the coordinates.
Element x y z (fractional)
Fe  0.0000  0.0000  0.0000  0.18
Te  0.5000  0.5000  0.5000  0.00
Sn  0.0000  0.0000  0.5000  0.00
Sn  0.5000  0.0000  0.0000  0.02
Tc  0.0000  0.5000  0.0000  1.26

***

Entry 3:
# TlFeTc2Sn

TlFeTc2Sn after structural relaxation (PBE, Alexandria via LeMat-Bulk).

Properties
Calculated volume (Å³ per cell): 120
Symmetry: No. 123
Crystal system: tetragonal
Final energy (eV/atom): -5.14
DFT formation energy (eV per atom): 1.971
ρ (Mg/m³): 7.95
Magnetic moment (μB/atom): 1.5435

Cell lengths 5.0838, 4.6478, 5.0838 Å; angles 90.00, 90.00, 90.00 degrees
Site moments in Bohr magnetons follow the coordinates.
Element x y z (fractional)
Fe  0.0000  0.5000  0.0000  2.91
Tl  0.0000  0.0000  0.0000  -0.07
Sn  0.5000  0.5000  0.5000  -0.06
Tc  0.0000  0.0000  0.5000  2.43
Tc  0.5000  0.0000  0.0000  2.07

***

Entry 4:
# UFeTcSn

UFeTcSn after structural relaxation (PBE, Alexandria via LeMat-Bulk).

Properties
Calculated volume (Å³ per cell): 70
Symmetry: No. 216
Crystal system: cubic
Final energy (eV/atom): -8.52
DFT formation energy (eV per atom): 0.011
ρ (Mg/m³): 12.05
Magnetic moment (μB/atom): 0.2500

Cell lengths 4.6335, 4.6335, 4.6335 Å; angles 60.00, 60.00, 60.00 degrees
Site moments in Bohr magnetons follow the coordinates.
Element x y z (fractional)
Fe  0.7500  0.7500  0.7500  -0.77
U  0.0000  0.0000  0.0000  1.72
Sn  0.5000  0.5000  0.5000  0.01
Tc  0.2500  0.2500  0.2500  -0.12

***

Entry 5:
# VFeTcSn

VFeTcSn after structural relaxation (PBE, Alexandria via LeMat-Bulk).

Properties
Calculated volume (Å³ per cell): 58
Symmetry: No. 216
Crystal system: cubic
Final energy (eV/atom): -8.03
DFT formation energy (eV per atom): -0.044
ρ (Mg/m³): 9.28
Magnetic moment (μB/atom): 0.0000

Cell lengths 4.3422, 4.3422, 4.3422 Å; angles 60.00, 60.00, 60.00 degrees
Element x y z (fractional)
Fe  0.0000  0.0000  0.0000
V  0.7500  0.7500  0.7500
Sn  0.2500  0.2500  0.2500
Tc  0.5000  0.5000  0.5000

***

Entry 6:
# FeSn3Te

FeSn3Te after structural relaxation (PBE, Alexandria via LeMat-Bulk).

Properties
Calculated volume (Å³ per cell): 125
Symmetry: No. 221
Crystal system: cubic
Final energy (eV/atom): -4.77
ρ (Mg/m³): 7.16
Magnetic moment (μB/atom): 0.0000

Cell lengths 5.0015, 5.0015, 5.0015 Å; angles 90.00, 90.00, 90.00 degrees
Element x y z (fractional)
Te  0.5000  0.5000  0.5000
Sn  0.0000  0.5000  0.0000
Sn  0.0000  0.0000  0.5000
Sn  0.5000  0.0000  0.0000
Fe  0.0000  0.0000  0.0000

***

Entry 7:
# Th5Fe2Sn

Th5Fe2Sn after structural relaxation (PBE, Alexandria via LeMat-Bulk).

Properties
Calculated volume (Å³ per cell): 417
Symmetry: No. 140
Crystal system: tetragonal
Final energy (eV/atom): -7.46
DFT formation energy (eV per atom): -0.202
ρ (Mg/m³): 11.07
Magnetic moment (μB/atom): 0.0001

Cell lengths 7.7910, 7.7910, 8.8079 Å; angles 116.25, 116.25, 90.00 degrees
Element x y z (fractional)
Th  0.5256  0.7108  0.7364
Th  0.7892  0.9744  0.2636
Th  0.0000  0.0000  0.0000
Th  0.5000  0.5000  0.0000
Th  0.2108  0.0256  0.7364
Th  0.7108  0.2108  0.7364
Th  0.0256  0.5256  0.7364
Th  0.2892  0.7892  0.2636
Th  0.9744  0.4744  0.2636
Th  0.4744  0.2892  0.2636
Fe  0.1403  0.3597  0.0000
Fe  0.6403  0.1403  0.0000
Fe  0.3597  0.8597  0.0000
Fe  0.8597  0.6403  0.0000
Sn  0.7500  0.7500  0.5000
Sn  0.2500  0.2500  0.5000

***

Entry 8:
# Th3Fe3Sn

Th3Fe3Sn after structural relaxation (PBE, Alexandria via LeMat-Bulk).

Properties
Calculated volume (Å³ per cell): 321
Symmetry: No. 176
Crystal system: hexagonal
Final energy (eV/atom): -7.55
DFT formation energy (eV per atom): -0.168
ρ (Mg/m³): 10.16
Magnetic moment (μB/atom): 0.4723

Cell lengths 3.7889, 9.8948, 9.8948 Å; angles 120.00, 90.00, 90.00 degrees
Site moments in Bohr magnetons follow the coordinates.
Element x y z (fractional)
Th  0.7500  0.3746  0.3290  -0.17
Th  0.7500  0.9544  0.6254  -0.17
Th  0.7500  0.6710  0.0456  -0.17
Th  0.2500  0.6254  0.6710  -0.17
Th  0.2500  0.0456  0.3746  -0.17
Th  0.2500  0.3290  0.9544  -0.17
Fe  0.7500  0.0165  0.1560  1.39
Fe  0.7500  0.1395  0.9835  1.39
Fe  0.7500  0.8440  0.8605  1.39
Fe  0.2500  0.9835  0.8440  1.39
Fe  0.2500  0.8605  0.0165  1.39
Fe  0.2500  0.1560  0.1395  1.39
Sn  0.7500  0.3333  0.6667  0.02
Sn  0.2500  0.6667  0.3333  0.02

***

Entry 9:
# Th3FeSn2

Th3FeSn2 after structural relaxation (PBE, Alexandria via LeMat-Bulk).

Properties
Calculated volume (Å³ per cell): 652
Symmetry: No. 62
Crystal system: orthorhombic
Final energy (eV/atom): -6.84
DFT formation energy (eV per atom): -0.390
ρ (Mg/m³): 10.07
Magnetic moment (μB/atom): 0.0000

Cell lengths 4.4696, 11.3507, 12.8589 Å; angles 90.00, 89.99, 90.00 degrees
Element x y z (fractional)
Th  0.2505  0.3926  0.0587
Th  0.7495  0.6074  0.9413
Th  0.7495  0.8926  0.4413
Th  0.2505  0.1074  0.5587
Th  0.2498  0.7279  0.2476
Th  0.7502  0.2721  0.7524
Th  0.7502  0.2279  0.2524
Th  0.2498  0.7721  0.7476
Th  0.2504  0.4543  0.3840
Th  0.7496  0.5457  0.6160
Th  0.7496  0.9543  0.1160
Th  0.2504  0.0457  0.8840
Fe  0.2503  0.1638  0.1174
Fe  0.7497  0.8362  0.8826
Fe  0.7497  0.6638  0.3826
Fe  0.2503  0.3362  0.6174
Sn  0.2496  0.7027  0.4994
Sn  0.7504  0.2973  0.5006
Sn  0.7504  0.2027  0.0006
Sn  0.2496  0.7973  0.9994
Sn  0.2498  0.0227  0.2950
Sn  0.7502  0.9773  0.7050
Sn  0.7502  0.5227  0.2050
Sn  0.2498  0.4773  0.7950

***

Entry 10:
# Th12Fe6Sn

Th12Fe6Sn after structural relaxation (PBE, Alexandria via LeMat-Bulk).

Properties
Calculated volume (Å³ per cell): 486
Symmetry: No. 204
Crystal system: cubic
Final energy (eV/atom): -7.66
DFT formation energy (eV per atom): -0.088
ρ (Mg/m³): 11.06
Magnetic moment (μB/atom): 0.0000

Cell lengths 8.5805, 8.5805, 8.5805 Å; angles 109.47, 109.47, 109.47 degrees
Element x y z (fractional)
Th  0.3155  0.1365  0.8210
Th  0.3155  0.4945  0.1790
Th  0.6845  0.5055  0.8210
Th  0.6845  0.8635  0.1790
Th  0.1365  0.8210  0.3155
Th  0.4945  0.1790  0.3155
Th  0.5055  0.8210  0.6845
Th  0.8635  0.1790  0.6845
Th  0.8210  0.3155  0.1365
Th  0.1790  0.3155  0.4945
Th  0.8210  0.6845  0.5055
Th  0.1790  0.6845  0.8635
Fe  0.3614  0.5000  0.8614
Fe  0.6386  0.5000  0.1386
Fe  0.5000  0.8614  0.3614
Fe  0.5000  0.1386  0.6386
Fe  0.8614  0.3614  0.5000
Fe  0.1386  0.6386  0.5000
Sn  0.0000  0.0000  0.0000

***

Entry 11:
# Th4FeSn

Th4FeSn after structural relaxation (PBE, Alexandria via LeMat-Bulk).

Properties
Calculated volume (Å³ per cell): 340
Symmetry: No. 11
Crystal system: monoclinic
Final energy (eV/atom): -7.23
DFT formation energy (eV per atom): -0.211
ρ (Mg/m³): 10.78
Magnetic moment (μB/atom): 0.0000

Cell lengths 5.9992, 6.7889, 8.4993 Å; angles 90.00, 101.04, 90.00 degrees
Element x y z (fractional)
Th  0.1718  0.2500  0.3629
Th  0.8282  0.7500  0.6371
Th  0.8953  0.2500  0.9484
Th  0.1047  0.7500  0.0516
Th  0.6207  0.9873  0.2204
Th  0.3793  0.4873  0.7796
Th  0.6207  0.5127  0.2204
Th  0.3793  0.0127  0.7796
Fe  0.3311  0.2500  0.0664
Fe  0.6689  0.7500  0.9336
Sn  0.7494  0.2500  0.5633
Sn  0.2506  0.7500  0.4367

***

Entry 12:
# Th4FeSn8

Th4FeSn8 after structural relaxation (PBE, Alexandria via LeMat-Bulk).

Properties
Calculated volume (Å³ per cell): 349
Symmetry: No. 25
Crystal system: orthorhombic
Final energy (eV/atom): -5.86
DFT formation energy (eV per atom): -0.466
ρ (Mg/m³): 9.20
Magnetic moment (μB/atom): 0.0608

Cell lengths 4.4963, 4.5157, 17.1950 Å; angles 90.00, 90.00, 90.00 degrees
Site moments in Bohr magnetons follow the coordinates.
Element x y z (fractional)
Th  0.0000  0.0000  0.3992  -0.03
Th  0.0000  0.5000  0.8943  -0.02
Th  0.5000  0.5000  0.1071  -0.04
Th  0.5000  0.0000  0.6009  -0.01
Fe  0.0000  0.0000  0.1937  1.00
Sn  0.0000  0.5000  0.2607  -0.01
Sn  0.0000  0.0000  0.7472  0.00
Sn  0.5000  0.0000  0.2613  -0.01
Sn  0.5000  0.5000  0.7481  0.00
Sn  0.0000  0.0000  0.0492  -0.01
Sn  0.0000  0.5000  0.5622  0.00
Sn  0.5000  0.5000  0.4378  0.00
Sn  0.5000  0.0000  0.9354  -0.01

***

> What is the ρ in the tenth record?

11.06 Mg/m³

***

> What is the magnetic moment in the third record?

1.5435 μB/atom

***

Repeat the fourth record exactly.
# UFeTcSn

UFeTcSn after structural relaxation (PBE, Alexandria via LeMat-Bulk).

Properties
Calculated volume (Å³ per cell): 70
Symmetry: No. 216
Crystal system: cubic
Final energy (eV/atom): -8.52
DFT formation energy (eV per atom): 0.011
ρ (Mg/m³): 12.05
Magnetic moment (μB/atom): 0.2500

Cell lengths 4.6335, 4.6335, 4.6335 Å; angles 60.00, 60.00, 60.00 degrees
Site moments in Bohr magnetons follow the coordinates.
Element x y z (fractional)
Fe  0.7500  0.7500  0.7500  -0.77
U  0.0000  0.0000  0.0000  1.72
Sn  0.5000  0.5000  0.5000  0.01
Tc  0.2500  0.2500  0.2500  -0.12